9
Lattice="6.789 -3.721 0.000 6.789 3.721 0.000 -4.226 0.000 6.372" Properties=species:S:1:pos:R:3 comment="Tl2MoI2Br4 (PBE, optimized geometry)" e_form_raw_ev_per_atom=-0.58 magnetic_moment_mub_per_fu=2.0 final_energy_ev_per_atom=-3.3931 pbc="T T T"
Tl 2.103 0.000 1.862
Tl 7.250 0.000 4.510
Mo -2.113 0.000 3.186
I -0.212 0.000 5.217
I 9.565 0.000 1.154
Br 3.339 1.923 4.417
Br 6.013 1.923 1.955
Br 3.339 -1.923 4.417
Br 6.013 -1.923 1.955